First-principles (GGA-PBE) data for crystalline HfZrScIn at its relaxed geometry, as listed in Alexandria via LeMat-Bulk.

Lattice parameters (Å, degrees): 4.385 4.385 9.337 90.00 90.00 90.00
Fractional positions:
Zr  0.000  0.500  0.743
Sc  0.000  0.000  0.000
Hf  0.000  0.000  0.500
In  0.500  0.000  0.751
Zr  0.500  0.000  0.257
Hf  0.500  0.500  0.500
Sc  0.500  0.500  0.000
In  0.000  0.500  0.249

Computed properties:
E_form: -0.199 eV/atom
V: 179.5 Å³ per cell

First-principles (GGA-PBE) data for crystalline ScAg2 at its relaxed geometry, as listed in Alexandria via LeMat-Bulk.

Lattice parameters (Å, degrees): 5.543 5.543 5.543 60.00 60.00 60.00
Fractional positions:
Ag  0.125  0.125  0.625
Sc  0.500  0.500  0.500
Sc  0.750  0.750  0.750
Ag  0.625  0.125  0.125
Ag  0.125  0.625  0.125
Ag  0.125  0.125  0.125

Computed properties:
E_form: -0.072 eV/atom
V: 120.4 Å³ per cell

First-principles (GGA-PBE) data for crystalline Ta2TeOs at its relaxed geometry, as listed in Alexandria via LeMat-Bulk.

Lattice parameters (Å, degrees): 9.179 9.179 9.179 19.31 19.31 19.31
Fractional positions:
Ta  0.006  0.006  0.006
Os  0.750  0.750  0.750
Ta  0.494  0.494  0.494
Te  0.250  0.250  0.250

Computed properties:
V: 73.9 Å³ per cell
Energy relative to the elements, uncorrected: 0.34 eV/atom

First-principles (GGA-PBE) data for crystalline YHo2S4 at its relaxed geometry, as listed in Alexandria via LeMat-Bulk.

Lattice parameters (Å, degrees): 3.796 6.708 13.090 90.00 90.00 106.44
Fractional positions:
S  0.224  0.449  0.878
Ho  0.870  0.741  0.930
S  0.224  0.449  0.622
S  0.776  0.551  0.122
S  0.500  0.000  0.500
Ho  0.130  0.259  0.430
Y  0.626  0.253  0.750
Ho  0.870  0.741  0.570
Ho  0.130  0.259  0.070
Y  0.374  0.747  0.250
S  0.029  0.058  0.250
S  0.776  0.551  0.378
S  0.971  0.942  0.750
S  0.500  0.000  0.000

Computed properties:
V: 319.7 Å³ per cell
Energy relative to the elements, uncorrected: -2.05 eV/atom